(1)
A relaxed structure of MnNi2Hg. Source: the Alexandria database, functional GGA-PBEsol.

Output
energy of formation = 0.093 eV per atom
DOS(E_F) = 2.4 states/eV/cell
SG = No. 123
crystal system = tetragonal
total magnetic moment = 4.3 μB per formula unit

```
MnNi2Hg
1.0
2.992 0.000 0.000
0.000 2.992 0.000
0.000 0.000 5.922
Hg Mn Ni
1 1 2
direct
0.500 0.500 0.000
0.500 0.500 0.500
0.000 0.000 0.717
0.000 0.000 0.283
```

---

(2)
A relaxed structure of Mn3NiHg. Source: the Alexandria database, functional GGA-PBEsol.

Output
energy of formation = 1.808 eV per atom
DOS(E_F) = 5.8 states/eV/cell
SG = No. 221
crystal system = cubic
total magnetic moment = 13.1 μB per formula unit

```
Mn3NiHg
1.0
-2.386 -2.885 -3.097
-2.022 -2.346 3.744
-3.718 3.127 -0.049
Ni Mn Hg
1 3 1
direct
0.500 0.500 0.500
0.000 0.500 0.000
0.000 0.000 0.500
0.500 0.000 0.000
0.000 0.000 0.000
```

---

> Among the records above, which one has the highest energy of formation?

Mn3NiHg

---

> Among the records above, which one has the lowest total magnetic moment?

MnNi2Hg

---

> What is the formula in the second record?

Mn3NiHg